DFT (GGA-PBE) results for crystalline Nb4B2Os5 at its relaxed geometry.

```
data_Nb4B2Os5
_chemical_formula_sum 'Nb4 B2 Os5'
_space_group_name_H-M_alt 'P 1'
_space_group_IT_number 1
_cell_length_a 6.4148
_cell_length_b 3.1376
_cell_length_c 7.9584
_cell_angle_alpha 90.00
_cell_angle_beta 95.86
_cell_angle_gamma 90.00
loop_
_space_group_symop_operation_xyz
'x,y,z'
loop_
_atom_site_label
_atom_site_type_symbol
_atom_site_fract_x
_atom_site_fract_y
_atom_site_fract_z
_atom_site_occupancy
Nb1 Nb 0.1812 0.0000 0.3448 1
Nb2 Nb 0.2224 0.0000 0.9374 1
Nb3 Nb 0.7776 0.0000 0.0626 1
Nb4 Nb 0.8188 0.0000 0.6552 1
B1 B 0.0632 0.5000 0.1162 1
B2 B 0.9368 0.5000 0.8838 1
Os1 Os 0.1603 0.5000 0.6504 1
Os2 Os 0.4417 0.5000 0.1693 1
Os3 Os 0.5000 0.5000 0.5000 1
Os4 Os 0.5583 0.5000 0.8307 1
Os5 Os 0.8397 0.5000 0.3496 1
```

Theoretical density: 14.010 g/cm³
ΔE_f: -199 meV per atom
DOS(E_F): 7.59 states/eV/f.u.
Total DFT energy (no corrections): -112.0 eV/f.u.


DFT (GGA-PBE) results for crystalline Y2MgCd at its relaxed geometry.

```
data_Y2MgCd
_chemical_formula_sum 'Y4 Mg2 Cd2'
_space_group_name_H-M_alt 'P 1'
_space_group_IT_number 1
_cell_length_a 6.8229
_cell_length_b 6.8229
_cell_length_c 6.8229
_cell_angle_alpha 102.56
_cell_angle_beta 102.56
_cell_angle_gamma 124.41
loop_
_space_group_symop_operation_xyz
'x,y,z'
loop_
_atom_site_label
_atom_site_type_symbol
_atom_site_fract_x
_atom_site_fract_y
_atom_site_fract_z
_atom_site_occupancy
Y1 Y 0.1066 0.1250 0.4816 1
Y2 Y 0.3750 0.8934 0.0184 1
Y3 Y 0.6434 0.6250 0.5184 1
Y4 Y 0.8750 0.3566 0.9816 1
Mg1 Mg 0.2500 0.7500 0.5000 1
Mg2 Mg 0.5000 0.5000 0.0000 1
Cd1 Cd 0.0000 0.0000 0.0000 1
Cd2 Cd 0.7500 0.2500 0.5000 1
```

Theoretical density: 4.506 g/cm³
ΔE_f: 173 meV per atom
DOS(E_F): 5.58 states/eV/f.u.
Total DFT energy (no corrections): -14.7 eV/f.u.


DFT (GGA-PBE) results for crystalline Pu3H6Pd2 at its relaxed geometry.

```
data_Pu3H6Pd2
_chemical_formula_sum 'Pu3 H6 Pd2'
_space_group_name_H-M_alt 'P 1'
_space_group_IT_number 1
_cell_length_a 10.2760
_cell_length_b 10.2760
_cell_length_c 10.2760
_cell_angle_alpha 159.29
_cell_angle_beta 159.29
_cell_angle_gamma 29.45
loop_
_space_group_symop_operation_xyz
'x,y,z'
loop_
_atom_site_label
_atom_site_type_symbol
_atom_site_fract_x
_atom_site_fract_y
_atom_site_fract_z
_atom_site_occupancy
Pu1 Pu 0.0000 0.0000 0.0000 1
Pu2 Pu 0.1848 0.1848 0.0000 1
Pu3 Pu 0.8152 0.8152 0.0000 1
H1 H 0.0893 0.5893 0.5000 1
H2 H 0.3040 0.3040 0.0000 1
H3 H 0.4107 0.9107 0.5000 1
H4 H 0.5893 0.0893 0.5000 1
H5 H 0.6960 0.6960 0.0000 1
H6 H 0.9107 0.4107 0.5000 1
Pd1 Pd 0.4087 0.4087 0.0000 1
Pd2 Pd 0.5913 0.5913 0.0000 1
```

Theoretical density: 11.643 g/cm³
DOS(E_F): 25.64 states/eV/f.u.
Total DFT energy (no corrections): -76.7 eV/f.u.


DFT (GGA-PBE) results for crystalline TeRu2W at its relaxed geometry.

```
data_TeRu2W
_chemical_formula_sum 'Te1 Ru2 W1'
_space_group_name_H-M_alt 'P 1'
_space_group_IT_number 1
_cell_length_a 4.9810
_cell_length_b 4.9810
_cell_length_c 4.9810
_cell_angle_alpha 133.39
_cell_angle_beta 133.39
_cell_angle_gamma 68.04
loop_
_space_group_symop_operation_xyz
'x,y,z'
loop_
_atom_site_label
_atom_site_type_symbol
_atom_site_fract_x
_atom_site_fract_y
_atom_site_fract_z
_atom_site_occupancy
Te1 Te 0.0000 0.0000 0.0000 1
Ru1 Ru 0.5000 0.5000 0.0000 1
Ru2 Ru 0.7500 0.2500 0.5000 1
W1 W 0.2500 0.7500 0.5000 1
```

Theoretical density: 13.300 g/cm³
DOS(E_F): 3.50 states/eV/f.u.
Uncorrected formation energy: 0.474 eV per atom
Total DFT energy (no corrections): -32.8 eV/f.u.


DFT (GGA-PBE) results for crystalline LaCoMo at its relaxed geometry.

```
data_LaCoMo
_chemical_formula_sum 'La1 Co1 Mo1'
_space_group_name_H-M_alt 'P 1'
_space_group_IT_number 1
_cell_length_a 4.0227
_cell_length_b 4.0227
_cell_length_c 4.7065
_cell_angle_alpha 90.00
_cell_angle_beta 90.00
_cell_angle_gamma 120.00
loop_
_space_group_symop_operation_xyz
'x,y,z'
loop_
_atom_site_label
_atom_site_type_symbol
_atom_site_fract_x
_atom_site_fract_y
_atom_site_fract_z
_atom_site_occupancy
La1 La 0.0000 0.0000 0.0000 1
Co1 Co 0.3333 0.6667 0.5000 1
Mo1 Mo 0.6667 0.3333 0.5000 1
```

Theoretical density: 7.396 g/cm³
ΔE_f: 218 meV per atom
DOS(E_F): 2.74 states/eV/f.u.
Energy above the lowest structure with this stoichiometry: 0.131 eV per atom
Total DFT energy (no corrections): -22.2 eV/f.u.


DFT (GGA-PBE) results for crystalline Tm6Tl6Ga at its relaxed geometry.

```
data_Tm6Tl6Ga
_chemical_formula_sum 'Tm6 Tl6 Ga1'
_space_group_name_H-M_alt 'P 1'
_space_group_IT_number 1
_cell_length_a 6.4495
_cell_length_b 6.4495
_cell_length_c 10.1577
_cell_angle_alpha 90.00
_cell_angle_beta 90.00
_cell_angle_gamma 120.00
loop_
_space_group_symop_operation_xyz
'x,y,z'
loop_
_atom_site_label
_atom_site_type_symbol
_atom_site_fract_x
_atom_site_fract_y
_atom_site_fract_z
_atom_site_occupancy
Tm1 Tm 0.0000 0.0000 0.1923 1
Tm2 Tm 0.0000 0.0000 0.8077 1
Tm3 Tm 0.3333 0.6667 0.0000 1
Tm4 Tm 0.3333 0.6667 0.5000 1
Tm5 Tm 0.6667 0.3333 0.0000 1
Tm6 Tm 0.6667 0.3333 0.5000 1
Tl1 Tl 0.0000 0.5000 0.2508 1
Tl2 Tl 0.0000 0.5000 0.7492 1
Tl3 Tl 0.5000 0.0000 0.2508 1
Tl4 Tl 0.5000 0.0000 0.7492 1
Tl5 Tl 0.5000 0.5000 0.2508 1
Tl6 Tl 0.5000 0.5000 0.7492 1
Ga1 Ga 0.0000 0.0000 0.5000 1
```

Theoretical density: 10.481 g/cm³
ΔE_f: -114 meV per atom
DOS(E_F): 8.20 states/eV/f.u.
Total DFT energy (no corrections): -45.5 eV/f.u.


DFT (GGA-PBE) results for crystalline Np3Bi5 at its relaxed geometry.

```
data_Np3Bi5
_chemical_formula_sum 'Np3 Bi5'
_space_group_name_H-M_alt 'P 1'
_space_group_IT_number 1
_cell_length_a 6.7592
_cell_length_b 6.7592
_cell_length_c 5.0889
_cell_angle_alpha 90.00
_cell_angle_beta 90.00
_cell_angle_gamma 90.41
loop_
_space_group_symop_operation_xyz
'x,y,z'
loop_
_atom_site_label
_atom_site_type_symbol
_atom_site_fract_x
_atom_site_fract_y
_atom_site_fract_z
_atom_site_occupancy
Np1 Np 0.0000 0.0000 0.0000 1
Np2 Np 0.2746 0.2746 0.5000 1
Np3 Np 0.7254 0.7254 0.5000 1
Bi1 Bi 0.0000 0.5000 0.0000 1
Bi2 Bi 0.2254 0.7746 0.5000 1
Bi3 Bi 0.5000 0.0000 0.0000 1
Bi4 Bi 0.5000 0.5000 0.0000 1
Bi5 Bi 0.7746 0.2254 0.5000 1
```

Theoretical density: 12.542 g/cm³
ΔE_f: 91 meV per atom
DOS(E_F): 25.87 states/eV/f.u.
Total DFT energy (no corrections): -57.5 eV/f.u.


DFT (GGA-PBE) results for crystalline Li2CuP at its relaxed geometry.

```
data_Li2CuP
_chemical_formula_sum 'Li2 Cu1 P1'
_space_group_name_H-M_alt 'P 1'
_space_group_IT_number 1
_cell_length_a 2.9160
_cell_length_b 3.9956
_cell_length_c 5.0539
_cell_angle_alpha 90.00
_cell_angle_beta 106.64
_cell_angle_gamma 90.00
loop_
_space_group_symop_operation_xyz
'x,y,z'
loop_
_atom_site_label
_atom_site_type_symbol
_atom_site_fract_x
_atom_site_fract_y
_atom_site_fract_z
_atom_site_occupancy
Li1 Li 0.0000 0.0000 0.0000 1
Li2 Li 0.3295 0.5000 0.6605 1
Cu1 Cu 0.7189 0.0000 0.4383 1
P1 P 0.6059 0.5000 0.2117 1
```

Theoretical density: 3.191 g/cm³
ΔE_f: -303 meV per atom
DOS(E_F): 1.20 states/eV/f.u.
Total DFT energy (no corrections): -14.5 eV/f.u.


DFT (GGA-PBE) results for crystalline AcLaPb at its relaxed geometry.

```
data_AcLaPb
_chemical_formula_sum 'Ac2 La2 Pb2'
_space_group_name_H-M_alt 'P 1'
_space_group_IT_number 1
_cell_length_a 4.9048
_cell_length_b 4.9048
_cell_length_c 9.2893
_cell_angle_alpha 90.00
_cell_angle_beta 90.00
_cell_angle_gamma 90.00
loop_
_space_group_symop_operation_xyz
'x,y,z'
loop_
_atom_site_label
_atom_site_type_symbol
_atom_site_fract_x
_atom_site_fract_y
_atom_site_fract_z
_atom_site_occupancy
Ac1 Ac 0.2500 0.2500 0.1463 1
Ac2 Ac 0.7500 0.7500 0.8537 1
La1 La 0.2500 0.7500 0.5000 1
La2 La 0.7500 0.2500 0.5000 1
Pb1 Pb 0.2500 0.2500 0.7677 1
Pb2 Pb 0.7500 0.7500 0.2323 1
```

Theoretical density: 8.517 g/cm³
ΔE_f: -457 meV per atom
DOS(E_F): 4.53 states/eV/f.u.
Energy above the lowest structure with this stoichiometry: 0.000 eV per atom
Total DFT energy (no corrections): -14.1 eV/f.u.


DFT (GGA-PBE) results for crystalline BeIn2Cl at its relaxed geometry.

```
data_BeIn2Cl
_chemical_formula_sum 'Be1 In2 Cl1'
_space_group_name_H-M_alt 'P 1'
_space_group_IT_number 1
_cell_length_a 3.8789
_cell_length_b 3.8789
_cell_length_c 8.0800
_cell_angle_alpha 103.14
_cell_angle_beta 103.14
_cell_angle_gamma 60.05
loop_
_space_group_symop_operation_xyz
'x,y,z'
loop_
_atom_site_label
_atom_site_type_symbol
_atom_site_fract_x
_atom_site_fract_y
_atom_site_fract_z
_atom_site_occupancy
Be1 Be 0.0000 0.0000 0.0000 1
In1 In 0.3866 0.3866 0.1693 1
In2 In 0.6134 0.6134 0.8307 1
Cl1 Cl 0.5000 0.5000 0.5000 1
```

Theoretical density: 4.478 g/cm³
DOS(E_F): 0.74 states/eV/f.u.
Energy above the lowest structure with this stoichiometry: 0.121 eV per atom
Uncorrected formation energy: -0.003 eV per atom
Total DFT energy (no corrections): -11.1 eV/f.u.


DFT (GGA-PBE) results for crystalline LiZr2FeTe at its relaxed geometry.

```
data_LiZr2FeTe
_chemical_formula_sum 'Li1 Zr2 Fe1 Te1'
_space_group_name_H-M_alt 'P 1'
_space_group_IT_number 1
_cell_length_a 4.7358
_cell_length_b 4.7358
_cell_length_c 4.7419
_cell_angle_alpha 90.00
_cell_angle_beta 90.00
_cell_angle_gamma 90.00
loop_
_space_group_symop_operation_xyz
'x,y,z'
loop_
_atom_site_label
_atom_site_type_symbol
_atom_site_fract_x
_atom_site_fract_y
_atom_site_fract_z
_atom_site_occupancy
Li1 Li 0.0000 0.0000 0.0000 1
Zr1 Zr 0.0000 0.5000 0.5000 1
Zr2 Zr 0.5000 0.0000 0.5000 1
Fe1 Fe 0.0000 0.0000 0.5000 1
Te1 Te 0.5000 0.5000 0.0000 1
```

Theoretical density: 5.821 g/cm³
DOS(E_F): 5.12 states/eV/f.u.
Uncorrected formation energy: 0.083 eV per atom
Total DFT energy (no corrections): -30.2 eV/f.u.


DFT (GGA-PBE) results for crystalline Pm6Pr5Ho at its relaxed geometry.

```
data_Pm6Pr5Ho
_chemical_formula_sum 'Pm6 Pr5 Ho1'
_space_group_name_H-M_alt 'P 1'
_space_group_IT_number 1
_cell_length_a 6.3517
_cell_length_b 6.3517
_cell_length_c 12.1696
_cell_angle_alpha 95.02
_cell_angle_beta 95.02
_cell_angle_gamma 119.98
loop_
_space_group_symop_operation_xyz
'x,y,z'
loop_
_atom_site_label
_atom_site_type_symbol
_atom_site_fract_x
_atom_site_fract_y
_atom_site_fract_z
_atom_site_occupancy
Pm1 Pm 0.0827 0.4146 0.7484 1
Pm2 Pm 0.2494 0.2494 0.2515 1
Pm3 Pm 0.4146 0.0827 0.7484 1
Pm4 Pm 0.5854 0.9173 0.2516 1
Pm5 Pm 0.7506 0.7506 0.7485 1
Pm6 Pm 0.9173 0.5854 0.2516 1
Pr1 Pr 0.1664 0.8336 0.0000 1
Pr2 Pr 0.3332 0.6668 0.5000 1
Pr3 Pr 0.5000 0.5000 0.0000 1
Pr4 Pr 0.6668 0.3332 0.5000 1
Pr5 Pr 0.8336 0.1664 0.0000 1
Ho1 Ho 0.0000 0.0000 0.5000 1
```

Theoretical density: 6.898 g/cm³
ΔE_f: 14 meV per atom
DOS(E_F): 18.20 states/eV/f.u.
Total DFT energy (no corrections): -56.8 eV/f.u.